A relaxed structure of TlCd2InPt, computed with PBE.

Results
**Fermi-level density of states**: 2.08 states/eV per cell
**Energy of formation**: -0.133 eV per atom
**M_tot**: 0.000 μB/cell
**SG**: P4/mmm, No. 123
**Total DFT energy (no corrections)**: -2.7278 eV/atom

a = 5.2922 Å, b = 5.2922 Å, c = 5.1421 Å
α = 90.00°, β = 90.00°, γ = 90.00°
Last column: nearest neighbours and their distance in Å.
Fractional coordinates of all 5 atoms:
In (0.0000, 0.0000, 0.5000)  2 Pt 2.57
Pt (0.0000, 0.0000, 0.0000)  2 In 2.57, 4 Cd 2.65
Tl (0.5000, 0.5000, 0.5000)  8 Cd 3.69, 4 In 3.74
Cd (0.0000, 0.5000, 0.0000)  2 Pt 2.65
Cd (0.5000, 0.0000, 0.0000)  2 Pt 2.65